Record 1
VASP calculation (PBE-GGA) on a relaxed structure of Zn2Ag5Au5.

Values from the calculation:
Calculated formation energy, eV per atom: -0.0815
Space group: No. 12

Structure (POSCAR):
```
Zn2Ag5Au5
1.0
6.2784 -2.1239 0.0000
6.2784 2.1239 0.0000
-4.0815 0.0000 7.8298
Zn Ag Au
2 5 5
Direct
0.1616 0.1616 0.0034
0.8384 0.8384 0.9966
0.3320 0.3320 0.5026
0.4118 0.4118 0.2421
0.5000 0.5000 0.0000
0.5882 0.5882 0.7579
0.6680 0.6680 0.4974
0.0000 0.0000 0.5000
0.0806 0.0806 0.2431
0.2493 0.2493 0.7712
0.7507 0.7507 0.2288
0.9194 0.9194 0.7569
```

Record 2
VASP calculation (PBE-GGA) on a relaxed structure of TbCrOs.

Values from the calculation:
Calculated formation energy, eV per atom: 0.1394
Space group: No. 11

Structure (POSCAR):
```
TbCrOs
1.0
4.8956 0.0000 0.0000
0.0000 4.3396 0.0000
-1.1120 0.0000 5.3054
Tb Cr Os
2 2 2
Direct
0.2456 0.2500 0.4396
0.7544 0.7500 0.5604
0.0790 0.2500 0.9197
0.9210 0.7500 0.0803
0.3585 0.7500 0.9395
0.6415 0.2500 0.0605
```

Record 3
VASP calculation (PBE-GGA) on a relaxed structure of K2TbTc2N4.

Values from the calculation:
Formation energy from raw total energies, kJ per mole of atoms: -40.4
Space group: No. 12

Structure (POSCAR):
```
K2TbTc2N4
1.0
6.4514 -1.7455 0.0000
6.4514 1.7455 0.0000
-6.1207 0.0000 6.9553
K Tb Tc N
2 1 2 4
Direct
0.1561 0.1561 0.2556
0.8439 0.8439 0.7444
0.0000 0.0000 0.5000
0.3500 0.3500 0.1285
0.6500 0.6500 0.8715
0.2112 0.2112 0.8285
0.4654 0.4654 0.6441
0.5346 0.5346 0.3559
0.7888 0.7888 0.1715
```

Record 4
VASP calculation (PBE-GGA) on a relaxed structure of CoTeRuI2.

Values from the calculation:
Formation energy from raw total energies, kJ per mole of atoms: 104.8
Space group: No. 123
Energy above the most stable polymorph in this dataset, meV per atom: 110.0

Structure (POSCAR):
```
CoTeRuI2
1.0
5.2848 0.0000 0.0000
0.0000 5.2848 0.0000
0.0000 0.0000 4.8713
Co Te Ru I
1 1 1 2
Direct
0.0000 0.0000 0.0000
0.0000 0.0000 0.5000
0.5000 0.5000 0.5000
0.0000 0.5000 0.0000
0.5000 0.0000 0.0000
```